No. 1
CsSrN, optimized geometry, DFT PBE-GGA; SG = P-1, No. 2; magnetic moment = 0.0 μB per cell; E = -22.39 eV for the cell shown
1.0
-3.6300 -3.8607 -5.2293
8.3102 -5.7137 -0.9939
0.4176 -2.3951 2.9641
Cs Sr N
2 2 2
Cartesian
5.2442 -8.5284 -3.6676 Cs
4.2932 -4.7888 -0.8901 Cs
0.7698 -2.4691 -0.7301 Sr
0.4570 -5.1330 -2.8344 Sr
0.1487 -5.0196 -0.1982 N
1.4967 -4.9776 -0.4020 N

=====

No. 2
CsSrN, optimized geometry, DFT PBE-GGA; SG = Pnma, No. 62; magnetic moment = 0.3 μB per cell; E = -43.46 eV for the cell shown
1.0
6.8203 0.0000 0.0000
0.0000 4.0154 0.0000
0.0000 0.0000 16.1158
Sr Cs N
4 4 4
Cartesian
1.2043 3.0116 12.6705 Sr
2.2059 3.0116 4.6126 Sr
5.6160 1.0039 3.4453 Sr
4.6144 1.0039 11.5032 Sr
1.8361 1.0039 9.2507 Cs
1.5740 1.0039 1.1928 Cs
4.9842 3.0116 6.8651 Cs
5.2462 3.0116 14.9230 Cs
3.1426 3.0116 11.0788 N
0.2675 3.0116 3.0209 N
3.6777 1.0039 5.0370 N
6.5527 1.0039 13.0949 N

=====

No. 3
CsSrN2, optimized geometry, DFT PBE-GGA; SG = Fm-3m, No. 225; magnetic moment = 3.0 μB per cell; excess energy over the best structure of this formula in the dataset = 0.112 eV/atom
1.0
-4.2475 1.0078 2.2605
-3.9884 -2.7165 -0.9378
-1.7489 -3.0626 3.4246
Cs Sr N
1 1 2
Cartesian
-4.9924 -2.3857 2.3736 Cs
0.0000 0.0000 0.0000 Sr
-2.4962 -1.1928 1.1868 N
-7.4886 -3.5785 3.5605 N

=====

No. 4
CsSrN, optimized geometry, DFT PBE-GGA; SG = P2_1, No. 4; magnetic moment = 0.1 μB per cell; E = -21.71 eV for the cell shown
1.0
-6.0878 4.6049 -4.0123
3.0896 -1.1025 -5.9537
-2.1789 -3.3161 -0.5166
Cs Sr N
2 2 2
Cartesian
-6.1391 1.8169 -4.6266 Cs
-1.4708 1.3965 -6.0066 Cs
-1.7079 0.8332 -1.3789 Sr
-0.4236 -2.0071 -4.0671 Sr
0.2869 -0.3313 -2.3246 N
-0.6697 -1.4666 -6.4913 N

=====

No. 5
CsSr2N, optimized geometry, DFT PBE-GGA; SG = R-3m, No. 166; magnetic moment = 1.3 μB per cell; E = -13.52 eV for the cell shown
1.0
-1.5707 0.3190 -3.6368
-3.9349 0.3403 -0.4423
-0.9108 11.6982 -0.7522
Cs Sr N
1 2 1
Cartesian
0.0000 0.0000 0.0000 Cs
-1.2646 7.3045 -0.9847 Sr
-5.1518 5.0529 -3.8465 Sr
-3.2082 6.1787 -2.4156 N

=====

No. 6
Cs2Sr4N, optimized geometry, DFT PBE-GGA; SG = I4/mmm, No. 139; magnetic moment = 0.0 μB per cell; E = -17.33 eV for the cell shown
1.0
5.4097 0.0000 0.0000
0.0000 5.4097 0.0000
2.7049 2.7049 14.2027
Cs Sr N
2 4 1
Cartesian
5.4097 5.4097 8.9528 Cs
2.7049 2.7049 5.2500 Cs
5.4097 5.4097 2.5429 Sr
2.7049 2.7049 11.6598 Sr
0.0000 2.7049 0.0000 Sr
2.7049 0.0000 0.0000 Sr
0.0000 0.0000 0.0000 N

=====

No. 7
CsSrN, optimized geometry, DFT PBE-GGA; SG = P1, No. 1; magnetic moment = 0.6 μB per cell; E = -22.28 eV for the cell shown
1.0
-4.9930 -3.4789 -5.6232
-2.5157 -5.2472 6.2603
-3.7734 1.7664 -0.4301
Cs Sr N
2 2 2
Cartesian
-3.0296 -4.1569 4.1143 Cs
-4.6296 -5.1729 -0.1221 Cs
-5.1567 -1.9137 -2.8933 Sr
-3.3390 -0.6125 1.3382 Sr
-6.7307 -5.2174 -2.5464 N
-6.1662 -4.0730 -2.7694 N

=====

No. 8
CsSrTe2N, optimized geometry, DFT PBE-GGA; SG = P4/mmm, No. 123; magnetic moment = 4.0 μB per cell; excess energy over the best structure of this formula in the dataset = 0.000 eV/atom
1.0
-1.6331 3.0061 -5.5613
-1.0953 -5.7916 -2.8090
-4.8778 0.1804 1.5299
Cs Sr Te N
1 1 2 1
Cartesian
-3.8031 -1.3025 -3.4202 Cs
0.0000 0.0000 0.0000 Sr
-0.5476 -2.8958 -1.4045 Te
-0.8166 1.5031 -2.7806 Te
-2.4389 0.0902 0.7650 N

=====

No. 9
CsSrTe2N, optimized geometry, DFT PBE-GGA; SG = P4/mmm, No. 123; magnetic moment = 1.7 μB per cell; excess energy over the best structure of this formula in the dataset = 0.655 eV/atom
1.0
-0.8137 6.2883 1.3015
-4.6305 -1.4835 4.2727
3.1245 -0.2766 3.2901
Cs Sr Te N
1 1 2 1
Cartesian
0.0000 0.0000 0.0000 Cs
-1.1598 2.2641 4.4321 Sr
-2.3152 -0.7417 2.1364 Te
-0.4068 3.1441 0.6507 Te
1.5623 -0.1383 1.6451 N

=====

No. 10
CsSrTi2N, optimized geometry, DFT PBE-GGA; SG = P4/mmm, No. 123; magnetic moment = 1.8 μB per cell; E = -13.60 eV for the cell shown
1.0
-2.0192 0.2717 4.4325
2.5295 -6.0463 1.5229
4.0444 2.1233 1.7123
Cs Sr N Ti
1 1 1 2
Cartesian
0.0000 0.0000 0.0000 Cs
1.2648 -3.0231 0.7615 Sr
2.2774 -1.8256 3.8338 N
2.0222 1.0617 0.8561 Ti
-1.0096 0.1358 2.2162 Ti

=====

No. 11
Cs2TaN, optimized geometry, DFT PBE-GGA; SG = I-42d, No. 122; magnetic moment = 4.0 μB per cell; E = -40.42 eV for the cell shown
1.0
6.0735 -1.3100 -7.4826
-3.9737 -1.9126 8.6686
-7.4268 -4.0819 -4.7722
Cs Ta N
4 2 2
Cartesian
-3.3383 -4.8921 -5.6749 Cs
-1.4638 -3.2180 2.3852 Cs
-5.6779 -3.6147 -1.4767 Cs
-0.1740 -2.8841 -2.4060 Cs
0.0000 0.0000 0.0000 Ta
-5.1753 -3.8029 2.2447 Ta
1.0499 -1.6113 0.5930 N
-0.1517 -3.5016 -5.8309 N

=====

No. 12
CsTaN, optimized geometry, DFT PBE-GGA; SG = C2/m, No. 12; magnetic moment = 2.0 μB per cell; E = -41.51 eV for the cell shown
1.0
-2.0253 5.1960 4.1059
-8.8836 -4.2683 -4.8206
-2.6716 -2.0497 1.2761
N Cs Ta
2 2 2
Cartesian
-5.2854 -2.3495 0.3662 N
-8.2951 1.2274 0.1952 N
-7.2701 -1.3765 -1.8441 Cs
-6.3104 0.2544 2.4055 Cs
-10.0784 0.4539 0.2944 Ta
-3.5020 -1.5760 0.2670 Ta

=====

No. 13
CsTaTe2N, optimized geometry, DFT PBE-GGA; SG = P4/mmm, No. 123; magnetic moment = 0.0 μB per cell; excess energy over the best structure of this formula in the dataset = 2.647 eV/atom
1.0
-1.0569 -4.2677 -4.1419
5.9028 -1.2656 -0.2022
-0.4864 -2.7399 2.9472
Cs N Te Ta
1 1 2 1
Cartesian
0.0000 0.0000 0.0000 Cs
-0.2432 -1.3699 1.4736 N
2.9514 -0.6328 -0.1011 Te
-0.5285 -2.1339 -2.0710 Te
2.1797 -4.1366 -0.6985 Ta

=====

No. 14
CsTaTe2N, optimized geometry, DFT PBE-GGA; SG = P4/mmm, No. 123; magnetic moment = 0.0 μB per cell; excess energy over the best structure of this formula in the dataset = 0.000 eV/atom
1.0
-3.2783 1.0011 -4.8382
-3.1540 -4.8933 1.1246
-2.5449 2.1383 2.1668
Cs N Te Ta
1 1 2 1
Cartesian
-4.4886 -0.8770 -0.7734 Cs
-1.2724 1.0691 1.0834 N
-1.5770 -2.4467 0.5623 Te
-1.6391 0.5005 -2.4191 Te
0.0000 0.0000 0.0000 Ta

=====

No. 15
CsTbWN3, optimized geometry, DFT PBE-GGA; SG = C2/m, No. 12; magnetic moment = 0.0 μB per cell; E = -93.79 eV for the cell shown
1.0
3.9262 0.0000 0.0000
-1.9631 6.8131 -0.0593
0.0000 -2.0271 8.5061
Cs Tb W N
2 2 2 6
Cartesian
0.0000 2.9649 7.8716 Cs
1.9631 1.8211 0.5751 Cs
1.9631 1.0312 4.9244 Tb
0.0000 3.7548 3.5223 Tb
0.0000 -0.5613 2.9148 W
1.9631 5.3473 5.5320 W
1.9631 4.5248 2.0329 N
1.9631 3.3496 5.2627 N
1.9631 -0.5338 3.0577 N
0.0000 1.4364 3.1840 N
0.0000 5.3199 5.3890 N
0.0000 0.2613 6.4138 N

=====

No. 16
Cs3Tc5N12, optimized geometry, DFT PBE-GGA; SG = Ia-3d, No. 230; magnetic moment = 0.0 μB per cell; E = -585.53 eV for the cell shown
1.0
11.7894 0.0000 0.0000
-3.9298 11.1151 0.0000
-3.9298 -5.5576 9.6260
Cs Tc N
12 20 48
Cartesian
6.8771 3.4735 1.2032 Cs
6.8771 7.6417 1.2032 Cs
-0.9824 4.8629 6.0162 Cs
0.9824 -0.6947 3.6097 Cs
8.8420 0.0000 2.4065 Cs
0.9824 5.5576 2.4065 Cs
2.9473 0.0000 7.2195 Cs
-4.9122 5.5576 7.2195 Cs
2.9473 6.2523 6.0162 Cs
4.9122 0.6947 3.6097 Cs
-2.9473 -2.0841 8.4227 Cs
-2.9473 2.0841 8.4227 Cs
-0.9824 2.7788 2.4065 Tc
-1.9649 5.5576 0.0000 Tc
0.0000 0.0000 0.0000 Tc
2.9473 2.0841 1.2032 Tc
3.9298 -2.7788 4.8130 Tc
3.9298 5.5576 0.0000 Tc
-2.9473 6.2523 3.6097 Tc
4.9122 -3.4735 8.4227 Tc
4.9122 4.8629 3.6097 Tc
0.9824 -2.7788 7.2195 Tc
2.9473 8.3364 2.4065 Tc
1.9649 2.7788 4.8130 Tc
5.8947 0.0000 0.0000 Tc
-1.9649 -2.7788 4.8130 Tc
-0.9824 0.6947 6.0162 Tc
-0.9824 9.0311 1.2032 Tc
-3.9298 2.7788 4.8130 Tc
6.8771 -0.6947 6.0162 Tc
0.9824 3.4735 8.4227 Tc
4.9122 2.7788 7.2195 Tc
3.6302 -4.3707 9.4013 N
0.2996 3.1776 3.6728 N
-2.6317 2.6397 3.2230 N
4.5966 1.3074 0.9155 N
1.4010 3.5670 6.6277 N
-2.8960 5.8265 1.8147 N
-1.2981 6.8898 4.1385 N
-2.6317 9.8077 0.9155 N
4.4937 -3.5670 6.6277 N
4.8609 5.2887 1.8147 N
6.1943 3.5669 3.8975 N
2.2645 4.3707 9.4013 N
-3.3659 4.7445 4.5883 N
2.9987 3.8515 0.6745 N
-4.2294 7.5483 3.8975 N
2.2645 -2.3800 5.9532 N
-0.5639 1.1775 1.5900 N
2.9987 6.9947 1.1402 N
4.5966 8.4755 3.2230 N
-1.0338 4.1204 1.1402 N
1.4010 -4.3801 8.0360 N
3.2630 4.2253 4.1385 N
5.3308 6.3706 4.5883 N
4.9636 -1.7060 8.9515 N
0.6668 1.3323 5.4875 N
-1.4010 -0.8131 5.0377 N
-1.0338 7.2636 0.6745 N
-0.6668 -2.9179 6.4030 N
2.5288 9.9377 1.5900 N
4.9636 1.4372 8.4858 N
0.9311 -1.4372 8.4858 N
1.6653 7.9376 3.6728 N
4.4937 4.3801 8.0360 N
8.1592 -1.9907 5.7285 N
7.2957 0.8131 5.0377 N
1.6653 1.1869 0.2247 N
0.9311 1.7061 8.9515 N
-0.5639 9.1246 2.9983 N
-0.9311 0.2689 7.8113 N
-2.2645 1.9907 5.7285 N
6.5615 -4.2502 8.7105 N
5.2279 -1.3323 5.4875 N
-0.6668 4.2502 8.7105 N
6.8258 -0.2689 7.8113 N
2.5288 1.9906 2.9983 N
6.5615 2.9179 6.4030 N
3.6302 2.3800 5.9532 N
0.2996 9.9283 0.2247 N

=====

No. 17
CsTcN, optimized geometry, DFT PBE-GGA; SG = P1, No. 1; magnetic moment = 0.0 μB per cell; E = -36.60 eV for the cell shown
1.0
4.7947 -0.1144 -0.1563
2.4570 2.3421 -0.0023
-0.5879 0.1087 13.6873
Cs N Tc
2 2 2
Cartesian
6.0417 2.0760 0.1484 Cs
0.3391 0.1743 5.6415 Cs
2.8029 0.0493 7.6638 N
2.9882 2.3119 11.8136 N
4.0586 1.1916 8.5299 Tc
4.1291 1.1117 10.8695 Tc

=====

No. 18
CsTcN3, optimized geometry, DFT PBE-GGA; SG = Pm-3m, No. 221; magnetic moment = 3.5 μB per cell; E = -18.75 eV for the cell shown
1.0
-3.5183 -2.4553 0.4061
0.2713 -1.0773 -4.1638
2.4738 -3.3738 1.0341
Cs Tc N
1 1 3
Cartesian
0.0000 0.0000 0.0000 Cs
-0.3866 -3.4532 -1.3618 Tc
0.1356 -0.5387 -2.0819 N
1.2369 -1.6869 0.5170 N
-1.7591 -1.2276 0.2030 N

=====

No. 19
Cs3TcN, optimized geometry, DFT PBE-GGA; SG = Pm-3m, No. 221; magnetic moment = 2.0 μB per cell; E = -12.35 eV for the cell shown
1.0
5.8143 0.0000 0.0000
0.0000 5.8143 0.0000
0.0000 0.0000 5.8143
Cs Tc N
3 1 1
Cartesian
0.0000 2.9071 0.0000 Cs
0.0000 0.0000 2.9071 Cs
2.9071 0.0000 0.0000 Cs
0.0000 0.0000 0.0000 Tc
2.9071 2.9071 2.9071 N

=====

No. 20
Cs2TcN2, optimized geometry, DFT PBE-GGA; SG = Cmc2_1, No. 36; magnetic moment = 0.0 μB per cell; E = -57.57 eV for the cell shown
1.0
3.5501 0.0000 -0.6250
0.0000 6.7947 0.0000
0.0790 0.0000 10.8435
Cs Tc N
4 2 4
Cartesian
0.1005 2.1415 0.5709 Cs
0.7310 3.2220 4.1523 Cs
2.8981 6.6194 6.0662 Cs
3.5286 5.5389 9.6476 Cs
2.2517 6.1254 2.3949 Tc
1.3774 2.7280 7.8237 Tc
2.1097 4.6086 1.5881 N
0.5409 6.7708 3.0725 N
3.0882 3.3734 7.1460 N
1.5194 1.2112 8.6304 N